ScMnNi | Alexandria via LeMat-Bulk | PBE-GGA | relaxed; E_form = -0.089 eV/atom
1.0
5.209 0.008 -0.036
3.348 3.991 0.036
-4.264 -2.031 2.198
Mn Ni Sc
1 1 1
Cartesian
8.397 3.924 0.000
2.965 1.386 0.000
5.753 2.689 0.000


ScMnNi | Alexandria via LeMat-Bulk | PBE-GGA | relaxed; E_form = 0.594 eV/atom
1.0
-3.663 -2.051 -0.416
-0.660 -2.480 -3.348
-0.137 -4.190 0.473
Mn Ni Sc
1 1 1
Cartesian
0.000 0.000 0.000
-2.230 -4.360 -1.645
-3.345 -6.540 -2.468


ScMnNi | Alexandria via LeMat-Bulk | PBE-GGA | relaxed; E_form = 0.036 eV/atom
1.0
4.211 0.000 0.000
2.105 3.647 0.000
2.105 1.216 3.438
Mn Ni Sc
1 1 1
Cartesian
4.211 2.431 1.719
6.316 3.647 2.579
0.000 0.000 0.000


Sc2MnNi | Alexandria via LeMat-Bulk | PBE-GGA | relaxed; E_form = -0.074 eV/atom
1.0
3.156 0.000 0.000
0.000 3.156 0.000
0.000 0.000 7.186
Mn Ni Sc
1 1 2
Cartesian
0.000 0.000 3.894
1.578 1.578 5.222
0.000 0.000 6.717
1.578 1.578 2.133


Sc3MnNi8 | Alexandria via LeMat-Bulk | PBE-GGA | relaxed; E_form = -0.424 eV/atom
1.0
-2.561 0.732 4.039
0.991 -2.553 3.989
4.641 4.943 4.945
Sc Mn Ni
3 1 8
Cartesian
3.450 3.619 7.328
-1.479 -1.724 8.069
1.463 1.483 6.455
0.408 0.305 8.898
-1.098 0.503 6.464
2.984 1.314 8.904
0.188 0.135 4.436
1.707 1.679 10.917
1.730 1.815 3.666
3.265 3.376 10.153
0.685 -1.146 6.439
1.213 2.952 8.929


ScMn2Ni9 | Alexandria via LeMat-Bulk | PBE-GGA | relaxed; energy above the most stable polymorph in this dataset = 43.0 meV/atom; E_form = -0.149 eV/atom
1.0
-4.025 -2.066 1.400
-1.453 -4.002 -2.073
2.126 -6.172 5.016
Sc Mn Ni
1 2 9
Cartesian
0.000 0.000 0.000
-3.773 -7.858 1.587
0.421 -4.382 2.755
-3.644 -4.054 -0.438
0.292 -8.186 4.781
-1.676 -6.120 2.171
-1.713 -4.085 1.010
-3.752 -5.132 1.719
-2.449 -6.113 -0.041
-1.639 -8.155 3.333
-0.903 -6.127 4.384
0.400 -7.108 2.624


ScMn2Ni9 | Alexandria via LeMat-Bulk | PBE-GGA | relaxed; energy above the most stable polymorph in this dataset = 0.0 meV/atom; E_form = -0.192 eV/atom
1.0
3.616 0.000 0.000
0.000 3.616 0.000
0.000 0.000 10.820
Sc Mn Ni
1 2 9
Cartesian
0.000 0.000 0.000
0.000 0.000 3.654
0.000 0.000 7.166
1.808 1.808 0.000
1.808 1.808 3.652
1.808 1.808 7.168
1.808 0.000 1.919
1.808 0.000 5.410
1.808 0.000 8.901
0.000 1.808 1.919
0.000 1.808 5.410
0.000 1.808 8.901


Sc2MnNi | Alexandria via LeMat-Bulk | PBE-GGA | relaxed; E_form = 0.369 eV/atom
1.0
1.731 0.000 9.108
-0.865 1.499 9.108
-0.865 -1.499 9.108
Sc Ni Mn
2 1 1
Cartesian
0.000 0.000 24.934
0.000 0.000 2.390
0.000 0.000 0.000
0.000 0.000 13.662


ScMn3Ni | Alexandria via LeMat-Bulk | PBE-GGA | relaxed; energy above the most stable polymorph in this dataset = 1458.5 meV/atom; E_form = 2.014 eV/atom
1.0
-1.702 1.905 3.349
-3.011 -2.942 0.143
2.403 -2.336 2.551
Sc Ni Mn
1 1 3
Cartesian
0.000 0.000 0.000
-1.155 -1.686 3.021
-1.506 -1.471 0.071
1.202 -1.168 1.275
-0.851 0.953 1.674


Sc2MnNi | Alexandria via LeMat-Bulk | PBE-GGA | relaxed; E_form = -0.212 eV/atom
1.0
3.154 0.000 0.000
0.000 3.154 0.000
0.000 0.000 6.547
Mn Ni Sc
1 1 2
Cartesian
1.577 1.577 1.637
1.577 1.577 4.910
0.000 0.000 6.513
0.000 0.000 3.307


Sc2MnNi | Alexandria via LeMat-Bulk | PBE-GGA | relaxed; E_form = 0.089 eV/atom
1.0
8.537 -0.006 -0.004
7.960 3.083 -0.004
7.960 1.485 2.702
Mn Ni Sc
1 1 2
Cartesian
6.114 1.140 0.674
18.343 3.421 2.021
0.164 0.031 0.018
12.064 2.250 1.329


ScMn3Ni | Alexandria via LeMat-Bulk | PBE-GGA | relaxed; energy above the most stable polymorph in this dataset = 0.0 meV/atom; E_form = 0.555 eV/atom
1.0
-0.736 -3.503 2.728
-2.644 -1.875 -3.122
3.567 -2.113 -1.752
Sc Ni Mn
1 1 3
Cartesian
0.093 -3.746 -1.073
0.000 0.000 0.000
-1.322 -0.938 -1.561
1.783 -1.057 -0.876
-0.368 -1.752 1.364